Entry from Alexandria: a relaxed AlTl2Cl crystal (GGA-PBEsol).

Cell and atoms, written as POSCAR:
```
AlTl2Cl
1.0
-1.862 2.578 5.171
1.862 -2.578 5.171
1.862 2.578 -5.171
Al Tl Cl
1 2 1
Cartesian
0.000 0.000 0.000
1.862 0.000 2.347
0.000 2.578 2.824
0.000 0.000 5.171
```

## Properties
* density of states at the Fermi level: 2.3 states/eV/f.u.
* ΔE_f (raw): -0.058 eV per atom
* SG: Immm
* energy: -11.6 eV for the cell shown
* distance to the lowest polymorph of the same formula: 0.144 eV per atom